## 1
VASP calculation (PBE) on ZnHPt after structural relaxation.

Computed properties:
Volume = 848.8 Å³/cell

a b c (Å): 5.701 8.215 18.125
angles (deg): 90.00 90.00 90.00
Element x y z (fractional)
Pt (0.198, 0.449, 0.662)
Pt (0.698, 0.949, 0.838)
Pt (0.305, 0.457, 0.326)
Pt (0.752, 0.463, 0.489)
Pt (0.305, 0.543, 0.174)
Pt (0.248, 0.463, 0.989)
Pt (0.752, 0.537, 0.011)
Pt (0.802, 0.551, 0.338)
Pt (0.805, 0.043, 0.326)
Pt (0.695, 0.543, 0.674)
Pt (0.805, 0.957, 0.174)
Pt (0.802, 0.449, 0.162)
Pt (0.698, 0.051, 0.662)
Pt (0.198, 0.551, 0.838)
Pt (0.252, 0.963, 0.011)
Pt (0.748, 0.037, 0.989)
Pt (0.748, 0.963, 0.511)
Pt (0.302, 0.949, 0.338)
Pt (0.248, 0.537, 0.511)
Pt (0.195, 0.957, 0.674)
Pt (0.195, 0.043, 0.826)
Pt (0.302, 0.051, 0.162)
Pt (0.695, 0.457, 0.826)
Pt (0.252, 0.037, 0.489)
Zn (0.520, 0.268, 0.066)
Zn (0.520, 0.732, 0.434)
Zn (0.460, 0.780, 0.584)
Zn (0.951, 0.747, 0.755)
Zn (0.540, 0.780, 0.084)
Zn (0.460, 0.220, 0.916)
Zn (0.049, 0.253, 0.245)
Zn (0.020, 0.768, 0.434)
Zn (0.451, 0.247, 0.745)
Zn (0.951, 0.253, 0.745)
Zn (0.980, 0.768, 0.934)
Zn (0.020, 0.232, 0.066)
Zn (0.980, 0.232, 0.566)
Zn (0.451, 0.753, 0.755)
Zn (0.049, 0.747, 0.255)
Zn (0.480, 0.268, 0.566)
Zn (0.549, 0.247, 0.245)
Zn (0.960, 0.720, 0.584)
Zn (0.540, 0.220, 0.416)
Zn (0.480, 0.732, 0.934)
Zn (0.960, 0.280, 0.916)
Zn (0.040, 0.720, 0.084)
Zn (0.549, 0.753, 0.255)
Zn (0.040, 0.280, 0.416)
H (0.919, 0.389, 0.653)
H (0.089, 0.894, 0.168)
H (0.081, 0.611, 0.347)
H (0.911, 0.894, 0.668)
H (0.687, 0.511, 0.579)
H (0.581, 0.111, 0.153)
H (0.687, 0.489, 0.921)
H (0.089, 0.106, 0.332)
H (0.081, 0.389, 0.153)
H (0.589, 0.606, 0.168)
H (0.313, 0.511, 0.079)
H (0.419, 0.111, 0.653)
H (0.187, 0.989, 0.579)
H (0.813, 0.989, 0.079)
H (0.411, 0.394, 0.832)
H (0.411, 0.606, 0.668)
H (0.187, 0.011, 0.921)
H (0.419, 0.889, 0.847)
H (0.919, 0.611, 0.847)
H (0.813, 0.011, 0.421)
H (0.589, 0.394, 0.332)
H (0.313, 0.489, 0.421)
H (0.581, 0.889, 0.347)
H (0.911, 0.106, 0.832)

***

## 2
VASP calculation (PBE) on ZnHPt after structural relaxation.

Computed properties:
Volume = 41.4 Å³/cell

a b c (Å): 3.524 3.524 4.162
angles (deg): 115.05 115.05 90.00
Element x y z (fractional)
H (0.982, 0.982, 0.963)
Pt (0.219, 0.219, 0.438)
Zn (0.649, 0.649, 0.298)

***

## 3
VASP calculation (PBE) on ZnHPt after structural relaxation.

Computed properties:
Volume = 34.9 Å³/cell

a b c (Å): 3.759 3.276 3.276
angles (deg): 120.00 90.00 90.00
Element x y z (fractional)
Zn (0.667, 0.333, 0.667)
H (0.167, 0.667, 0.333)
Pt (0.167, 0.000, 0.000)

***

Which of them is the least stable? Correct choice: 2.